Material: K2Ni2As
Method: DFT, PBE
State: relaxed

DOS at the Fermi energy: 10.574 states/eV/cell
Crystal system: tetragonal
Total energy: -17.68 eV per formula unit
Mass density: 4.2 Mg/m³
Energy of formation: 0.15 eV/atom
Magnetization: 0.000 μB per formula unit

Cell lengths 6.236, 6.236, 5.445 Å; angles 90.00, 90.00, 90.00 degrees
Space group P4/mbm (No. 127)
Unique sites:
K 0.181 0.319 0.000
Ni 0.145 0.645 0.500
As 0.000 0.000 0.500



Material: CeDy2Tl
Method: DFT, PBE
State: relaxed

DOS at the Fermi energy: 21.477 states/eV/cell
Crystal system: trigonal
Energy relative to the lowest polymorph listed for this composition: 7.8 kJ/mol of atoms
Total energy: -17.74 eV per formula unit
Mass density: 9.3 Mg/m³
Energy of formation: -0.06 eV/atom
Magnetization: 1.290 μB per formula unit

Cell lengths 3.5542, 3.5542, 32.8723 Å; angles 90.00, 90.00, 120.00 degrees
Space group R3m (No. 160, hexagonal axes)
Unique sites:
Ce 0.0000 0.0000 0.0000
Dy 0.0000 0.0000 0.5793
Dy 0.0000 0.0000 0.7544
Tl 0.0000 0.0000 0.1668



Material: NdSmThAl
Method: DFT, PBE
State: relaxed

DOS at the Fermi energy: 20.656 states/eV/cell
Crystal system: cubic
Total energy: -20.61 eV per formula unit
Mass density: 7.9 Mg/m³
Energy of formation: 0.01 eV/atom
Magnetization: 0.000 μB per formula unit

Cell lengths 7.738, 7.738, 7.738 Å; angles 90.00, 90.00, 90.00 degrees
Space group F-43m (No. 216)
Unique sites:
Nd 0.000 0.000 0.000
Sm 0.250 0.250 0.250
Th 0.000 0.000 0.500
Al 0.250 0.250 0.750



Material: La2Er2Pt15
Method: DFT, PBE
State: relaxed

DOS at the Fermi energy: 48.811 states/eV/cell
Crystal system: trigonal
Total energy: -124.28 eV per formula unit
Mass density: 16.7 Mg/m³
Energy of formation: -0.77 eV/atom
Magnetization: 0.000 μB per formula unit

Cell lengths 9.3833, 9.3833, 13.8675 Å; angles 90.00, 90.00, 120.00 degrees
Space group R-3m (No. 166, hexagonal axes)
Unique sites:
La 0.0000 0.0000 0.1444
Er 0.0000 0.0000 0.3939
Pt 0.0000 0.3086 0.5000
Pt 0.0000 0.5000 0.0000
Pt 0.0025 0.5013 0.6547



What is the total energy in the third record?
-20.61 eV per formula unit



energy of formation of number 1 (K2Ni2As)?
0.15 eV/atom



The highest mass density belongs to which entry?
La2Er2Pt15



Look up the magnetization of the third one.
0.000 μB per formula unit